# 1
This record from Alexandria via LeMat-Bulk describes a relaxed structure of RuRhSe2. The functional is PBE. Values from VASP.

Cell and atoms, written as Quantum ESPRESSO input:
```
&SYSTEM
  ibrav = 0, nat = 4, ntyp = 3
/
ATOMIC_SPECIES
Ru 101.07 Ru.upf
Rh 102.91 Rh.upf
Se 78.96 Se.upf
ATOMIC_POSITIONS angstrom
Ru 0.000 0.000 0.000
Rh 1.425 0.000 2.834
Se 3.857 0.000 2.686
Se 6.374 0.000 0.728
CELL_PARAMETERS angstrom
4.499 -1.610 0.000
4.499 1.610 0.000
-0.913 0.000 4.566
```

Summary:
energy relative to the lowest polymorph listed for this composition: 0.1688 eV per atom
DFT total energy: -5.851 eV/atom

# 2
This record from Alexandria via LeMat-Bulk describes a relaxed structure of Ru2RhSe. The functional is PBE. Values from VASP.

Cell and atoms, written as Quantum ESPRESSO input:
```
&SYSTEM
  ibrav = 0, nat = 4, ntyp = 3
/
ATOMIC_SPECIES
Ru 101.07 Ru.upf
Rh 102.91 Rh.upf
Se 78.96 Se.upf
ATOMIC_POSITIONS angstrom
Ru 0.000 0.000 2.011
Ru 0.000 0.000 7.146
Rh 0.000 2.205 0.000
Se 1.455 0.000 0.000
CELL_PARAMETERS angstrom
-1.455 2.205 4.578
1.455 -2.205 4.578
1.455 2.205 -4.578
```

Summary:
DFT total energy: -7.085 eV/atom

# 3
This record from Alexandria via LeMat-Bulk describes a relaxed structure of Ru2RhSe. The functional is PBE. Values from VASP.

Cell and atoms, written as Quantum ESPRESSO input:
```
&SYSTEM
  ibrav = 0, nat = 4, ntyp = 3
/
ATOMIC_SPECIES
Ru 101.07 Ru.upf
Rh 102.91 Rh.upf
Se 78.96 Se.upf
ATOMIC_POSITIONS angstrom
Ru 0.000 0.000 0.000
Ru 6.669 0.000 0.977
Rh 4.136 0.000 2.150
Se 1.965 0.000 3.268
CELL_PARAMETERS angstrom
4.617 -1.438 0.000
4.617 1.438 0.000
-0.169 0.000 4.492
```

Summary:
DFT total energy: -7.107 eV/atom

# 4
This record from Alexandria via LeMat-Bulk describes a relaxed structure of RuRhSe2. The functional is PBE. Values from VASP.

Cell and atoms, written as Quantum ESPRESSO input:
```
&SYSTEM
  ibrav = 0, nat = 4, ntyp = 3
/
ATOMIC_SPECIES
Ru 101.07 Ru.upf
Rh 102.91 Rh.upf
Se 78.96 Se.upf
ATOMIC_POSITIONS angstrom
Ru 0.000 0.000 0.000
Rh 4.796 4.796 4.796
Se 1.599 1.599 1.599
Se 3.198 3.198 3.198
CELL_PARAMETERS angstrom
0.000 3.198 3.198
3.198 0.000 3.198
3.198 3.198 0.000
```

Summary:
energy relative to the lowest polymorph listed for this composition: 0.7504 eV per atom
DFT total energy: -5.270 eV/atom

# 5
This record from Alexandria via LeMat-Bulk describes a relaxed structure of Ru2RhSe. The functional is PBE. Values from VASP.

Cell and atoms, written as Quantum ESPRESSO input:
```
&SYSTEM
  ibrav = 0, nat = 4, ntyp = 3
/
ATOMIC_SPECIES
Ru 101.07 Ru.upf
Rh 102.91 Rh.upf
Se 78.96 Se.upf
ATOMIC_POSITIONS angstrom
Ru 0.000 0.000 1.619
Ru 0.000 0.000 5.249
Rh 1.457 1.457 3.434
Se 1.457 1.457 0.000
CELL_PARAMETERS angstrom
2.915 0.000 0.000
0.000 2.915 0.000
0.000 0.000 6.868
```

Summary:
DFT total energy: -7.051 eV/atom

# 6
This record from Alexandria via LeMat-Bulk describes a relaxed structure of Ru2RhSe. The functional is PBE. Values from VASP.

Cell and atoms, written as Quantum ESPRESSO input:
```
&SYSTEM
  ibrav = 0, nat = 4, ntyp = 3
/
ATOMIC_SPECIES
Ru 101.07 Ru.upf
Rh 102.91 Rh.upf
Se 78.96 Se.upf
ATOMIC_POSITIONS angstrom
Ru 2.018 0.000 1.789
Ru 0.000 2.018 1.789
Rh 0.000 0.000 0.000
Se 0.000 0.000 3.578
CELL_PARAMETERS angstrom
-2.018 2.018 3.578
2.018 -2.018 3.578
2.018 2.018 -3.578
```

Summary:
DFT total energy: -7.009 eV/atom